Material: Li2MgAs2
Method: DFT, PBE-GGA
State: optimized geometry

Computed properties:
energy relative to the elements: -0.4346 eV/atom

Cell: 7.679 7.679 3.000 Å, 90.00 90.00 90.00°
Sites, in units of the cell vectors:
As (0.321, 0.821, 0.000)
As (0.821, 0.679, 0.000)
As (0.679, 0.179, 0.000)
As (0.179, 0.321, 0.000)
Mg (0.000, 0.000, 0.000)
Mg (0.500, 0.500, 0.000)
Li (0.120, 0.620, 0.500)
Li (0.620, 0.880, 0.500)
Li (0.880, 0.380, 0.500)
Li (0.380, 0.120, 0.500)